AlTl5S4: optimized geometry, PBE.

Computed properties:
Electronic total energy   -3.749 eV/atom
Magnetic moment   0.0 μB per formula unit
Energy relative to the elements, uncorrected   -541 meV per atom
Space-group type   Pmmn

```
20
Lattice="-3.361 -6.681 1.532 0.376 -2.451 -9.862 7.282 -3.405 1.124" Properties=species:S:1:pos:R:3 pbc="T T T"
Tl 2.883 -7.820 -0.066
Tl 0.966 -4.289 -6.260
Tl 4.869 -5.194 -1.646
Tl -0.345 -6.311 -0.565
Tl 5.021 -6.185 -5.634
Tl -0.121 -7.771 -6.438
Tl 3.468 -2.048 0.641
Tl 3.107 -9.280 -5.940
Tl -2.999 -7.561 -3.478
Tl 0.814 -3.298 -2.272
Al 0.935 -8.683 -3.049
Al -0.466 -0.926 0.212
S 3.669 -2.647 -2.479
S -0.197 -6.781 -3.565
S 3.184 -8.362 -3.043
S -3.200 -6.962 -0.357
S 3.810 -3.566 -6.176
S 0.666 -2.828 0.728
S 4.567 -4.652 1.331
S -2.965 -8.494 -6.522
```

Nb2AlRh5: optimized geometry, PBE.

Computed properties:
Energy relative to the elements   -0.660 eV per atom
Electronic total energy   -8.240 eV/atom
Magnetic moment   0.0 μB per formula unit
Space-group type   Pbam

```
16
Lattice="4.057 0.000 0.000 0.000 5.487 0.000 0.000 0.000 10.762" Properties=species:S:1:pos:R:3 pbc="T T T"
Rh 0.000 5.113 8.000
Rh 2.029 1.682 1.168
Rh 0.000 0.375 2.762
Rh 2.029 4.426 4.213
Rh 0.000 3.118 2.619
Rh 2.029 3.805 9.594
Rh 0.000 2.369 8.143
Rh 0.000 0.000 0.000
Rh 0.000 2.744 5.381
Rh 2.029 1.061 6.548
Nb 2.029 0.995 9.246
Nb 2.029 4.492 1.516
Nb 2.029 1.749 3.865
Nb 2.029 3.739 6.897
Al 0.000 2.744 0.000
Al 0.000 0.000 5.381
```

BeAl2Os: optimized geometry, PBE.

Computed properties:
Energy relative to the elements   0.034 eV per atom
Electronic total energy   -5.576 eV/atom
Magnetic moment   0.0 μB per formula unit
Space-group type   R-3m

```
4
Lattice="8.261 -0.001 0.000 7.787 2.757 0.000 7.787 1.338 2.411" Properties=species:S:1:pos:R:3 pbc="T T T"
Al 11.978 2.057 1.211
Al 23.774 4.083 2.404
Be 5.959 1.023 0.603
Os 17.876 3.070 1.808
```